The following is a PBE calculation of an optimized crystal structure of BaSbMo2, from Alexandria.

Its uncorrected energy is -6.34 eV/atom. The value obtained for the uncorrected formation energy is 226 kJ/mol of formula units. The density of states at the Fermi level comes out at 3.93 states/eV per cell. The crystal system is tetragonal.

It has space group P4/mmm (No. 123), with a = 3.680 Å, b = 3.680 Å, c = 7.309 Å, α = 90.00°, β = 90.00° and γ = 90.00°. Symmetry generates all atoms from Ba at (0.000, 0.000, 0.000), Sb at (0.000, 0.000, 0.500) and Mo at (0.500, 0.500, 0.338).